(1)
# Mg2InPd

A relaxed structure of Mg2InPd (PBE, OQMD).

raw total energy: -0.11752 hartree per atom

a = 3.1735 Å, b = 3.1735 Å, c = 7.7173 Å
α = 90.00°, β = 90.00°, γ = 90.00°
Last column: nearest neighbours and their distance in Å.
Element x y z (fractional)
Mg1 0.0000 0.0000 0.2055  4 Pd 2.75
Mg2 0.0000 0.0000 0.7945  4 Pd 2.75
In1 0.5000 0.5000 0.5000  4 In 3.17, 8 Mg 3.19
Pd1 0.5000 0.5000 0.0000  8 Mg 2.75

(2)
# ThZn

A relaxed structure of ThZn (PBE, OQMD).

spin magnetization: 0.1 μB per cell
ΔH_f (0 K): 0.15 eV/atom

a = 6.7766 Å, b = 6.7766 Å, c = 5.0219 Å
α = 90.00°, β = 90.00°, γ = 120.00°
Last column: nearest neighbours and their distance in Å.
Element x y z (fractional)
Th1 0.0000 0.0000 0.0000  6 Th 3.23, 6 Zn 3.40
Th2 0.3459 0.1729 0.5000  6 Th 3.23-3.52, 6 Zn 3.25-3.39
Th3 0.8271 0.1729 0.5000  6 Th 3.23-3.52, 6 Zn 3.25-3.39
Th4 0.8271 0.6541 0.5000  6 Th 3.23-3.52, 6 Zn 3.25-3.39
Zn1 0.0431 0.5215 0.0000  4 Zn 2.95-3.03, 4 Th 3.25
Zn2 0.3333 0.6667 0.5000  6 Zn 3.03, 6 Th 3.39
Zn3 0.4785 0.5215 0.0000  4 Zn 2.95-3.03, 4 Th 3.25
Zn4 0.4785 0.9569 0.0000  4 Zn 2.95-3.03, 4 Th 3.25

(3)
# KFe3

A relaxed structure of KFe3 (PBE, OQMD).

spin magnetization: 17.0 μB per cell
raw total energy: -0.18913 hartree per atom

a = 3.9737 Å, b = 3.9737 Å, c = 8.4273 Å
α = 90.00°, β = 90.00°, γ = 90.00°
Last column: nearest neighbours and their distance in Å.
Element x y z (fractional)
K1 0.0000 0.0000 0.0000  12 Fe 2.81-2.90
K2 0.5000 0.5000 0.5000  12 Fe 2.81-2.90
Fe1 0.0000 0.0000 0.5000  4 K 2.81, 8 Fe 2.90
Fe2 0.0000 0.5000 0.2500  8 Fe 2.81-2.90, 4 K 2.90
Fe3 0.0000 0.5000 0.7500  8 Fe 2.81-2.90, 4 K 2.90
Fe4 0.5000 0.0000 0.2500  8 Fe 2.81-2.90, 4 K 2.90
Fe5 0.5000 0.0000 0.7500  8 Fe 2.81-2.90, 4 K 2.90
Fe6 0.5000 0.5000 0.0000  4 K 2.81, 8 Fe 2.90

(4)
# TaCuNiSn

A relaxed structure of TaCuNiSn (PBE, OQMD).

energy relative to the lowest polymorph listed for this composition: 153 meV/atom
spin magnetization: 0.0 μB per cell

a = 6.3166 Å, b = 6.3166 Å, c = 6.3166 Å
α = 90.00°, β = 90.00°, γ = 90.00°
Last column: nearest neighbours and their distance in Å.
Element x y z (fractional)
Ta1 0.0000 0.0000 0.0000  4 Sn 2.74, 4 Ni 2.74
Ta2 0.0000 0.5000 0.5000  4 Sn 2.74, 4 Ni 2.74
Ta3 0.5000 0.0000 0.5000  4 Sn 2.74, 4 Ni 2.74
Ta4 0.5000 0.5000 0.0000  4 Sn 2.74, 4 Ni 2.74
Cu1 0.0000 0.0000 0.5000  4 Sn 2.74, 4 Ni 2.74
Cu2 0.0000 0.5000 0.0000  4 Sn 2.74, 4 Ni 2.74
Cu3 0.5000 0.0000 0.0000  4 Sn 2.74, 4 Ni 2.74
Cu4 0.5000 0.5000 0.5000  4 Sn 2.74, 4 Ni 2.74
Ni1 0.2500 0.2500 0.7500  4 Ta 2.74, 4 Cu 2.74
Ni2 0.2500 0.7500 0.2500  4 Ta 2.74, 4 Cu 2.74
Ni3 0.7500 0.2500 0.2500  4 Ta 2.74, 4 Cu 2.74
Ni4 0.7500 0.7500 0.7500  4 Ta 2.74, 4 Cu 2.74
Sn1 0.2500 0.2500 0.2500  4 Cu 2.74, 4 Ta 2.74
Sn2 0.2500 0.7500 0.7500  4 Cu 2.74, 4 Ta 2.74
Sn3 0.7500 0.2500 0.7500  4 Cu 2.74, 4 Ta 2.74
Sn4 0.7500 0.7500 0.2500  4 Cu 2.74, 4 Ta 2.74

(5)
# RbNbB

A relaxed structure of RbNbB (PBE, OQMD).

energy relative to the lowest polymorph listed for this composition: 158 meV/atom
spin magnetization: 4.0 μB per cell

a = 6.2603 Å, b = 6.2603 Å, c = 6.2603 Å
α = 90.00°, β = 90.00°, γ = 90.00°
Last column: nearest neighbours and their distance in Å.
Element x y z (fractional)
Rb1 0.0000 0.0000 0.0000  4 Nb 2.71
Rb2 0.0000 0.5000 0.5000  4 Nb 2.71
Rb3 0.5000 0.0000 0.5000  4 Nb 2.71
Rb4 0.5000 0.5000 0.0000  4 Nb 2.71
Nb1 0.2500 0.2500 0.7500  4 Rb 2.71, 4 B 2.71
Nb2 0.2500 0.7500 0.2500  4 Rb 2.71, 4 B 2.71
Nb3 0.7500 0.2500 0.2500  4 Rb 2.71, 4 B 2.71
Nb4 0.7500 0.7500 0.7500  4 Rb 2.71, 4 B 2.71
B1 0.0000 0.0000 0.5000  4 Nb 2.71
B2 0.0000 0.5000 0.0000  4 Nb 2.71
B3 0.5000 0.0000 0.0000  4 Nb 2.71
B4 0.5000 0.5000 0.5000  4 Nb 2.71

(6)
# SmMgBi

A relaxed structure of SmMgBi (PBE, OQMD).

energy relative to the lowest polymorph listed for this composition: 14 meV/atom
spin magnetization: 0.0 μB per cell

a = 7.4128 Å, b = 7.4128 Å, c = 7.4128 Å
α = 90.00°, β = 90.00°, γ = 90.00°
Last column: nearest neighbours and their distance in Å.
Element x y z (fractional)
Sm1 0.0000 0.0000 0.0000  4 Bi 3.21, 4 Mg 3.21
Sm2 0.0000 0.5000 0.5000  4 Bi 3.21, 4 Mg 3.21
Sm3 0.5000 0.0000 0.5000  4 Bi 3.21, 4 Mg 3.21
Sm4 0.5000 0.5000 0.0000  4 Bi 3.21, 4 Mg 3.21
Mg1 0.2500 0.2500 0.2500  4 Sm 3.21
Mg2 0.2500 0.7500 0.7500  4 Sm 3.21
Mg3 0.7500 0.2500 0.7500  4 Sm 3.21
Mg4 0.7500 0.7500 0.2500  4 Sm 3.21
Bi1 0.2500 0.2500 0.7500  4 Sm 3.21
Bi2 0.2500 0.7500 0.2500  4 Sm 3.21
Bi3 0.7500 0.2500 0.2500  4 Sm 3.21
Bi4 0.7500 0.7500 0.7500  4 Sm 3.21

(7)
# Sr2TmZr

A relaxed structure of Sr2TmZr (PBE, OQMD).

spin magnetization: 0.8 μB per cell
raw total energy: -0.12694 hartree per atom

a = 3.5230 Å, b = 3.5230 Å, c = 12.9337 Å
α = 90.00°, β = 90.00°, γ = 120.00°
Last column: nearest neighbours and their distance in Å.
Element x y z (fractional)
Sr1 0.0000 0.0000 0.2442  1 Zr 3.31, 6 Sr 3.52
Sr2 0.0000 0.0000 0.7558  1 Zr 3.31, 6 Sr 3.52
Tm1 0.6667 0.3333 0.0000  6 Tm 3.52, 6 Sr 3.76
Zr1 0.0000 0.0000 0.5000  2 Sr 3.31, 6 Zr 3.52

(8)
# LuScPb2

A relaxed structure of LuScPb2 (PBE, OQMD).

spin magnetization: 2.4 μB per cell
raw total energy: -0.16494 hartree per atom

a = 7.6249 Å, b = 7.6249 Å, c = 7.6249 Å
α = 90.00°, β = 90.00°, γ = 90.00°
Last column: nearest neighbours and their distance in Å.
Element x y z (fractional)
Lu1 0.0000 0.0000 0.0000  4 Pb 3.30, 4 Sc 3.30
Lu2 0.0000 0.5000 0.5000  4 Sc 3.30, 4 Pb 3.30
Lu3 0.5000 0.0000 0.5000  4 Sc 3.30, 4 Pb 3.30
Lu4 0.5000 0.5000 0.0000  4 Sc 3.30, 4 Pb 3.30
Sc1 0.2500 0.2500 0.2500  4 Pb 3.30, 4 Lu 3.30
Sc2 0.2500 0.7500 0.7500  4 Pb 3.30, 4 Lu 3.30
Sc3 0.7500 0.2500 0.7500  4 Pb 3.30, 4 Lu 3.30
Sc4 0.7500 0.7500 0.2500  4 Pb 3.30, 4 Lu 3.30
Pb1 0.0000 0.0000 0.5000  4 Pb 3.30, 4 Sc 3.30
Pb2 0.0000 0.5000 0.0000  4 Pb 3.30, 4 Sc 3.30
Pb3 0.2500 0.2500 0.7500  4 Pb 3.30, 4 Lu 3.30
Pb4 0.2500 0.7500 0.2500  4 Pb 3.30, 4 Lu 3.30
Pb5 0.5000 0.0000 0.0000  4 Pb 3.30, 4 Sc 3.30
Pb6 0.5000 0.5000 0.5000  4 Pb 3.30, 4 Sc 3.30
Pb7 0.7500 0.2500 0.2500  4 Pb 3.30, 4 Lu 3.30
Pb8 0.7500 0.7500 0.7500  4 Pb 3.30, 4 Lu 3.30

(9)
# ZrBeNiB

A relaxed structure of ZrBeNiB (PBE, OQMD).

energy relative to the lowest polymorph listed for this composition: 168 meV/atom
spin magnetization: 0.0 μB per cell

a = 5.7079 Å, b = 5.7079 Å, c = 5.7079 Å
α = 90.00°, β = 90.00°, γ = 90.00°
Last column: nearest neighbours and their distance in Å.
Element x y z (fractional)
Zr1 0.0000 0.0000 0.0000  4 Ni 2.47, 4 Be 2.47
Zr2 0.0000 0.5000 0.5000  4 Ni 2.47, 4 Be 2.47
Zr3 0.5000 0.0000 0.5000  4 Ni 2.47, 4 Be 2.47
Zr4 0.5000 0.5000 0.0000  4 Ni 2.47, 4 Be 2.47
Be1 0.2500 0.2500 0.2500  4 Zr 2.47, 4 B 2.47
Be2 0.2500 0.7500 0.7500  4 Zr 2.47, 4 B 2.47
Be3 0.7500 0.2500 0.7500  4 Zr 2.47, 4 B 2.47
Be4 0.7500 0.7500 0.2500  4 Zr 2.47, 4 B 2.47
Ni1 0.2500 0.2500 0.7500  4 Zr 2.47, 4 B 2.47
Ni2 0.2500 0.7500 0.2500  4 Zr 2.47, 4 B 2.47
Ni3 0.7500 0.2500 0.2500  4 Zr 2.47, 4 B 2.47
Ni4 0.7500 0.7500 0.7500  4 Zr 2.47, 4 B 2.47
B1 0.0000 0.0000 0.5000  4 Ni 2.47, 4 Be 2.47
B2 0.0000 0.5000 0.0000  4 Ni 2.47, 4 Be 2.47
B3 0.5000 0.0000 0.0000  4 Ni 2.47, 4 Be 2.47
B4 0.5000 0.5000 0.5000  4 Ni 2.47, 4 Be 2.47

(10)
# Gd2Fe17

A relaxed structure of Gd2Fe17 (PBE, OQMD).

spin magnetization: 75.9 μB per cell
ΔH_f (0 K): 0.00 eV/atom

a = 8.4222 Å, b = 8.4222 Å, c = 8.2399 Å
α = 90.00°, β = 90.00°, γ = 120.00°
Last column: nearest neighbours and their distance in Å.
Element x y z (fractional)
Gd1 0.0000 0.0000 0.2500  18 Fe 2.96-3.26
Gd2 0.0000 0.0000 0.7500  18 Fe 2.96-3.26
Gd3 0.3333 0.6667 0.2500  20 Fe 2.94-3.19
Gd4 0.6667 0.3333 0.7500  20 Fe 2.94-3.19
Fe1 0.0000 0.5000 0.0000  10 Fe 2.44-2.59
Fe2 0.0000 0.5000 0.5000  10 Fe 2.44-2.59
Fe3 0.0402 0.3695 0.7500  8 Fe 2.43-2.60
Fe4 0.0402 0.6708 0.7500  8 Fe 2.43-2.60
Fe5 0.1659 0.3318 0.0145  9 Fe 2.43-2.64
Fe6 0.1659 0.3318 0.4855  9 Fe 2.43-2.64
Fe7 0.1659 0.8341 0.0145  9 Fe 2.43-2.64
Fe8 0.1659 0.8341 0.4855  9 Fe 2.43-2.64
Fe9 0.3292 0.3695 0.7500  8 Fe 2.43-2.60
Fe10 0.3292 0.9598 0.7500  8 Fe 2.43-2.60
Fe11 0.3318 0.1659 0.5145  9 Fe 2.43-2.64
Fe12 0.3318 0.1659 0.9855  9 Fe 2.43-2.64
Fe13 0.3333 0.6667 0.6070  4 Fe 2.36-2.59
Fe14 0.3333 0.6667 0.8930  4 Fe 2.36-2.59
Fe15 0.3695 0.0402 0.2500  8 Fe 2.43-2.60
Fe16 0.3695 0.3292 0.2500  8 Fe 2.43-2.60
Fe17 0.5000 0.0000 0.0000  10 Fe 2.44-2.59
Fe18 0.5000 0.0000 0.5000  10 Fe 2.44-2.59
Fe19 0.5000 0.5000 0.0000  10 Fe 2.44-2.59
Fe20 0.5000 0.5000 0.5000  10 Fe 2.44-2.59
Fe21 0.6305 0.6708 0.7500  8 Fe 2.43-2.60
Fe22 0.6305 0.9598 0.7500  8 Fe 2.43-2.60
Fe23 0.6667 0.3333 0.1070  4 Fe 2.36-2.59
Fe24 0.6667 0.3333 0.3930  4 Fe 2.36-2.59
Fe25 0.6682 0.8341 0.0145  9 Fe 2.43-2.64
Fe26 0.6682 0.8341 0.4855  9 Fe 2.43-2.64
Fe27 0.6708 0.0402 0.2500  8 Fe 2.43-2.60
Fe28 0.6708 0.6305 0.2500  8 Fe 2.43-2.60
Fe29 0.8341 0.1659 0.5145  9 Fe 2.43-2.64
Fe30 0.8341 0.1659 0.9855  9 Fe 2.43-2.64
Fe31 0.8341 0.6682 0.5145  9 Fe 2.43-2.64
Fe32 0.8341 0.6682 0.9855  9 Fe 2.43-2.64
Fe33 0.9598 0.3292 0.2500  8 Fe 2.43-2.60
Fe34 0.9598 0.6305 0.2500  8 Fe 2.43-2.60